(1)
First-principles (PBE) data for a relaxed ZnPt3 crystal, as listed in Alexandria.

Results
Calculated total energy: -20.4 eV per cell
Crystal system: trigonal
SG: R-3m
E_form: -0.250 eV per atom

a = 9.060 Å, b = 9.060 Å, c = 9.060 Å
α = 17.84°, β = 17.84°, γ = 17.84°
Fractional positions:
Zn 0.000 0.000 0.000
Pt 0.255 0.255 0.255
Pt 0.500 0.500 0.500
Pt 0.745 0.745 0.745


(2)
First-principles (PBE) data for a relaxed ZnPt4 crystal, as listed in Alexandria.

Results
Calculated total energy: -23.7 eV per cell
Crystal system: cubic
SG: Im-3m
E_form: 0.339 eV per atom
Energy relative to the lowest polymorph listed for this composition: 579.0 meV/atom

a = 4.900 Å, b = 4.900 Å, c = 4.900 Å
α = 109.47°, β = 109.47°, γ = 109.47°
Fractional positions:
Zn 0.000 0.000 0.000
Pt 0.000 0.000 0.500
Pt 0.000 0.500 0.000
Pt 0.500 0.000 0.000
Pt 0.500 0.500 0.500


(3)
First-principles (PBE) data for a relaxed Zn2Pt crystal, as listed in Alexandria.

Results
Calculated total energy: -9.7 eV per cell
Crystal system: cubic
SG: Fm-3m
E_form: -0.361 eV per atom

a = 4.223 Å, b = 4.223 Å, c = 4.223 Å
α = 60.00°, β = 60.00°, γ = 60.00°
Fractional positions:
Zn 0.250 0.250 0.250
Zn 0.750 0.750 0.750
Pt 0.000 0.000 0.000